Record 1
VASP calculation (PBE) on MnFe3Ir12 after structural relaxation.

Calculated values
density of states at the Fermi level = 1.1099 states/eV per atom
energy of formation from the pure elements = -8 kJ/mol of atoms
spin magnetization = 4.63 μB/cell

Cell lengths 3.8223, 3.8223, 15.2814 Å; angles 90.00, 90.00, 90.00 degrees
With the nearest neighbours (Å) after each atom.
Element x y z (fractional)
Mn (0.0000, 0.0000, 0.0000)  12 Ir 2.69-2.70
Fe (0.0000, 0.0000, 0.2520)  12 Ir 2.68-2.74
Fe (0.0000, 0.0000, 0.5000)  12 Ir 2.70-2.71
Fe (0.0000, 0.0000, 0.7480)  12 Ir 2.68-2.74
Ir (0.0000, 0.5000, 0.1237)  2 Mn 2.69, 8 Ir 2.69-2.71, 2 Fe 2.74
Ir (0.0000, 0.5000, 0.3746)  4 Fe 2.68-2.71, 8 Ir 2.70-2.71
Ir (0.0000, 0.5000, 0.6254)  4 Fe 2.68-2.71, 8 Ir 2.70-2.71
Ir (0.0000, 0.5000, 0.8763)  2 Mn 2.69, 8 Ir 2.69-2.71, 2 Fe 2.74
Ir (0.5000, 0.0000, 0.1237)  2 Mn 2.69, 8 Ir 2.69-2.71, 2 Fe 2.74
Ir (0.5000, 0.0000, 0.3746)  4 Fe 2.68-2.71, 8 Ir 2.70-2.71
Ir (0.5000, 0.0000, 0.6254)  4 Fe 2.68-2.71, 8 Ir 2.70-2.71
Ir (0.5000, 0.0000, 0.8763)  2 Mn 2.69, 8 Ir 2.69-2.71, 2 Fe 2.74
Ir (0.5000, 0.5000, 0.0000)  8 Ir 2.69, 4 Mn 2.70
Ir (0.5000, 0.5000, 0.2498)  8 Ir 2.70-2.71, 4 Fe 2.70
Ir (0.5000, 0.5000, 0.5000)  4 Fe 2.70, 8 Ir 2.71
Ir (0.5000, 0.5000, 0.7502)  8 Ir 2.70-2.71, 4 Fe 2.70

***

Record 2
VASP calculation (PBE) on Mn2FeIr after structural relaxation.

Calculated values
density of states at the Fermi level = 1.2671 states/eV per atom
relative energy among the computed polymorphs = 90 meV per atom
energy of formation from the pure elements = -4 kJ/mol of atoms
spin magnetization = 1.34 μB/cell

Cell lengths 2.6013, 3.6313, 5.1217 Å; angles 90.00, 90.00, 90.00 degrees
With the nearest neighbours (Å) after each atom.
Element x y z (fractional)
Mn (0.0000, 0.0000, 0.2399)  4 Mn 2.46-2.66, 4 Fe 2.55, 4 Ir 2.60
Mn (0.0000, 0.0000, 0.7601)  4 Mn 2.46-2.66, 4 Fe 2.55, 4 Ir 2.60
Fe (0.5000, 0.5000, 0.0000)  8 Mn 2.55, 2 Ir 2.56, 2 Fe 2.60
Ir (0.5000, 0.5000, 0.5000)  2 Fe 2.56, 8 Mn 2.60, 2 Ir 2.60

***

Record 3
VASP calculation (PBE) on MnFe2Ir after structural relaxation.

Calculated values
density of states at the Fermi level = 0.6807 states/eV per atom
energy of formation from the pure elements = -14 kJ/mol of atoms
spin magnetization = 1.66 μB/cell

Cell lengths 3.6603, 3.6603, 3.7501 Å; angles 90.00, 90.00, 90.00 degrees
With the nearest neighbours (Å) after each atom.
Element x y z (fractional)
Mn (0.0000, 0.0000, 0.0000)  4 Ir 2.59, 8 Fe 2.62
Fe (0.0000, 0.5000, 0.5000)  4 Fe 2.59, 4 Ir 2.62, 4 Mn 2.62
Fe (0.5000, 0.0000, 0.5000)  4 Fe 2.59, 4 Ir 2.62, 4 Mn 2.62
Ir (0.5000, 0.5000, 0.0000)  4 Mn 2.59, 8 Fe 2.62

***

Among the records above, which one has the lowest spin magnetization? Mn2FeIr